Entry 1:
A geometry-optimized YSeCl2 structure. Source: Alexandria, functional PBE-GGA.

Unit cell a=3.4372 b=4.9829 c=15.2746 alpha=90.00 beta=90.00 gamma=90.00
Last column: nearest neighbours and their distance in Å.
Space group Imm2 (No. 44)
Inequivalent atoms, fractional coordinates:
Y: 0.0000 0.0000 0.0000 (multiplicity 2)  2 Cl 2.65, 2 Se 2.90
Se: 0.0000 0.5000 0.3467 (multiplicity 2)  2 Y 2.90
Cl: 0.0000 0.0000 0.4944 (multiplicity 2)  4 Y 3.03, 2 Cl 3.26, 2 Se 3.36
Cl: 0.0000 0.5000 0.6319 (multiplicity 2)  2 Y 2.65

Formation energy without anion corrections ... -5.659 eV per formula unit
Crystal system ... orthorhombic

***

Entry 2:
A geometry-optimized Y3SeCl structure. Source: Alexandria, functional PBE-GGA.

Unit cell a=5.1355 b=5.1355 c=5.1355 alpha=90.00 beta=90.00 gamma=90.00
Last column: nearest neighbours and their distance in Å.
Space group Pm-3m (No. 221)
Inequivalent atoms, fractional coordinates:
Y: 0.0000 0.0000 0.5000 (multiplicity 3)  2 Cl 2.57
Se: 0.5000 0.5000 0.5000 (multiplicity 1)  12 Y 3.63
Cl: 0.0000 0.0000 0.0000 (multiplicity 1)  6 Y 2.57

Formation energy without anion corrections ... -2.018 eV per formula unit
Crystal system ... cubic

***

Entry 3:
A geometry-optimized YSe3Cl structure. Source: Alexandria, functional PBE-GGA.

Unit cell a=5.5770 b=5.5770 c=5.5770 alpha=90.00 beta=90.00 gamma=90.00
Last column: nearest neighbours and their distance in Å.
Space group Pm-3m (No. 221)
Inequivalent atoms, fractional coordinates:
Y: 0.0000 0.0000 0.0000 (multiplicity 1)  6 Se 2.79
Se: 0.0000 0.0000 0.5000 (multiplicity 3)  2 Y 2.79
Cl: 0.5000 0.5000 0.5000 (multiplicity 1)  12 Se 3.94

Formation energy without anion corrections ... -0.952 eV per formula unit
Crystal system ... cubic

***

Entry 4:
A geometry-optimized YSeCl2 structure. Source: Alexandria, functional PBE-GGA.

Unit cell a=4.1756 b=4.1756 c=5.3787 alpha=90.00 beta=90.00 gamma=90.00
Last column: nearest neighbours and their distance in Å.
Space group P4mm (No. 99)
Inequivalent atoms, fractional coordinates:
Y: 0.0000 0.0000 0.0000 (multiplicity 1)  2 Cl 2.59-2.79
Se: 0.5000 0.5000 0.8291 (multiplicity 1)  2 Cl 2.61-2.77
Cl: 0.0000 0.0000 0.5179 (multiplicity 1)  2 Y 2.59-2.79
Cl: 0.5000 0.5000 0.3149 (multiplicity 1)  2 Se 2.61-2.77

Formation energy without anion corrections ... -5.157 eV per formula unit
Crystal system ... tetragonal

***

Entry 5:
A geometry-optimized YSe3Cl structure. Source: Alexandria, functional PBE-GGA.

Unit cell a=4.9590 b=4.9590 c=4.9590 alpha=90.00 beta=90.00 gamma=90.00
Last column: nearest neighbours and their distance in Å.
Space group Pm-3m (No. 221)
Inequivalent atoms, fractional coordinates:
Y: 0.0000 0.0000 0.0000 (multiplicity 1)  12 Se 3.51
Se: 0.0000 0.5000 0.5000 (multiplicity 3)  2 Cl 2.48
Cl: 0.5000 0.5000 0.5000 (multiplicity 1)  6 Se 2.48

Formation energy without anion corrections ... -0.539 eV per formula unit
Crystal system ... cubic

***

Entry 6:
A geometry-optimized Y2SeCl structure. Source: Alexandria, functional PBE-GGA.

Unit cell a=13.9214 b=3.8603 c=3.8896 alpha=90.00 beta=90.11 gamma=90.00
Last column: nearest neighbours and their distance in Å.
Space group Cm (No. 8)
Inequivalent atoms, fractional coordinates:
Y: 0.0000 0.0000 0.0000 (multiplicity 2)  4 Cl 2.84, 1 Se 2.99
Y: 0.1560 0.5000 0.5012 (multiplicity 2)  4 Se 2.86, 1 Cl 2.92
Se: 0.2147 0.0000 0.0017 (multiplicity 2)  5 Y 2.86-2.99
Cl: 0.4461 0.0000 0.4996 (multiplicity 2)  5 Y 2.84-2.92

Formation energy without anion corrections ... -5.624 eV per formula unit
Crystal system ... monoclinic

***

Energy relative to the lowest polymorph listed for this composition / eV/atom: 0.183; 0.000; 0.000; 0.309; 0.083; 0.076